# PBE-GGA Ba3Gd4O9, optimized geometry
# Magnetic moment ... 0.001 μB per atom
# Volume ... 17.46 A^3/atom
# Uncorrected energy ... -356.86 eV/cell
data_Ba3Gd4O9
_chemical_formula_sum 'Ba9 Gd12 O27'
_cell_length_a 6.1446
_cell_length_b 6.1446
_cell_length_c 25.6268
_cell_angle_alpha 90.00
_cell_angle_beta 90.00
_cell_angle_gamma 120.00
_symmetry_space_group_name_H-M 'R 3'
_symmetry_Int_Tables_number 146
_symmetry_space_group_name_Hall 'R 3'
loop_
_atom_site_label
_atom_site_fract_x
_atom_site_fract_y
_atom_site_fract_z
Ba1 0.0000 0.0000 0.0000
Ba2 0.0000 0.0000 0.1651
Ba3 0.0000 0.0000 0.5858
Gd1 0.0000 0.0000 0.2999
Gd2 0.0000 0.0000 0.4261
Gd3 0.0000 0.0000 0.7386
Gd4 0.0000 0.0000 0.8643
O1 0.0013 0.5727 0.5824
O2 0.0126 0.4384 0.0255
O3 0.0988 0.3481 0.4712

# PBE-GGA TlNiAgTeS2, optimized geometry
# Magnetic moment ... 0.000 μB per atom
# Volume ... 22.99 A^3/atom
# Uncorrected energy ... -91.66 eV/cell
data_TlNiAgTeS2
_chemical_formula_sum 'Tl4 Ni4 Ag4 Te4 S8'
_cell_length_a 3.386
_cell_length_b 15.422
_cell_length_c 10.568
_cell_angle_alpha 90.00
_cell_angle_beta 90.00
_cell_angle_gamma 90.00
_symmetry_space_group_name_H-M 'C m c m'
_symmetry_Int_Tables_number 63
_symmetry_space_group_name_Hall '-C 2c 2'
loop_
_atom_site_label
_atom_site_fract_x
_atom_site_fract_y
_atom_site_fract_z
Tl1 0.000 0.209 0.250
Ni1 0.000 0.500 0.000
Ag1 0.000 0.129 0.750
Te1 0.000 0.465 0.750
S1 0.000 0.098 0.515

# PBE-GGA BaDyIr, optimized geometry
# Magnetic moment ... 0.000 μB per atom
# Volume ... 27.97 A^3/atom
# Uncorrected energy ... -52.03 eV/cell
data_BaDyIr
_chemical_formula_sum 'Ba4 Dy4 Ir4'
_cell_length_a 6.950
_cell_length_b 6.950
_cell_length_c 6.950
_cell_angle_alpha 90.00
_cell_angle_beta 90.00
_cell_angle_gamma 90.00
_symmetry_space_group_name_H-M 'F -4 3 m'
_symmetry_Int_Tables_number 216
_symmetry_space_group_name_Hall 'F -4 2 3'
loop_
_atom_site_label
_atom_site_fract_x
_atom_site_fract_y
_atom_site_fract_z
Ba1 0.000 0.000 0.000
Dy1 0.250 0.250 0.750
Ir1 0.250 0.250 0.250

# PBE-GGA HfCdPb, optimized geometry
# Magnetic moment ... 0.000 μB per atom
# Volume ... 27.62 A^3/atom
# Uncorrected energy ... -54.09 eV/cell
data_HfCdPb
_chemical_formula_sum 'Hf4 Cd4 Pb4'
_cell_length_a 6.921
_cell_length_b 6.921
_cell_length_c 6.921
_cell_angle_alpha 90.00
_cell_angle_beta 90.00
_cell_angle_gamma 90.00
_symmetry_space_group_name_H-M 'F -4 3 m'
_symmetry_Int_Tables_number 216
_symmetry_space_group_name_Hall 'F -4 2 3'
loop_
_atom_site_label
_atom_site_fract_x
_atom_site_fract_y
_atom_site_fract_z
Hf1 0.000 0.000 0.000
Cd1 0.250 0.250 0.750
Pb1 0.250 0.250 0.250

# PBE-GGA Ac2Cd2O5, optimized geometry
# Magnetic moment ... 0.000 μB per atom
# Volume ... 15.87 A^3/atom
# Uncorrected energy ... -52.74 eV/cell
data_Ac2Cd2O5
_chemical_formula_sum 'Ac2 Cd2 O5'
_cell_length_a 4.321
_cell_length_b 4.321
_cell_length_c 7.652
_cell_angle_alpha 90.00
_cell_angle_beta 90.00
_cell_angle_gamma 90.00
_symmetry_space_group_name_H-M 'P 4/m m m'
_symmetry_Int_Tables_number 123
_symmetry_space_group_name_Hall '-P 4 2'
loop_
_atom_site_label
_atom_site_fract_x
_atom_site_fract_y
_atom_site_fract_z
Ac1 0.000 0.000 0.000
Ac2 0.000 0.000 0.500
Cd1 0.500 0.500 0.218
O1 0.000 0.500 0.206
O2 0.500 0.500 0.500

# PBE-GGA Gd3In3NiAgAu, optimized geometry
# Magnetic moment ... 0.002 μB per atom
# Volume ... 22.61 A^3/atom
# Uncorrected energy ... -39.05 eV/cell
data_Gd3In3NiAgAu
_chemical_formula_sum 'Gd3 In3 Ni1 Ag1 Au1'
_cell_length_a 7.7381
_cell_length_b 7.7381
_cell_length_c 3.9248
_cell_angle_alpha 90.00
_cell_angle_beta 90.00
_cell_angle_gamma 120.00
_symmetry_space_group_name_H-M 'P -6'
_symmetry_Int_Tables_number 174
loop_
_symmetry_equiv_pos_as_xyz
'x,y,z'
'-x+y,-x,-z'
'-y,x-y,z'
'x,y,-z'
'-x+y,-x,z'
'-y,x-y,-z'
loop_
_atom_site_label
_atom_site_fract_x
_atom_site_fract_y
_atom_site_fract_z
Gd1 0.0064 0.6010 0.0000
In1 0.2467 0.0056 0.5000
Ni1 0.0000 0.0000 0.0000
Ag1 0.6667 0.3333 0.5000
Au1 0.3333 0.6667 0.5000